The following is a PBE calculation of a relaxed Sm4Tl2Hg3 crystal, from Alexandria.

**ΔE to the lowest computed polymorph**: 0.0 kJ/mol of atoms
**Size of the total moment**: 0.000 μB/atom
**D(E_F)**: 7.2 states/eV per cell
**Formation enthalpy at 0 K**: -3.1 eV/f.u.

a = 5.279 Å, b = 5.279 Å, c = 10.342 Å
α = 95.10°, β = 95.10°, γ = 61.81°
Element x y z (fractional)
1 Sm 0.027 0.027 0.328
2 Sm 0.324 0.324 0.889
3 Sm 0.676 0.676 0.111
4 Sm 0.973 0.973 0.672
5 Tl 0.354 0.354 0.222
6 Tl 0.646 0.646 0.778
7 Hg 0.000 0.000 0.000
8 Hg 0.310 0.310 0.570
9 Hg 0.690 0.690 0.430

The following is a PBE calculation of a relaxed Sm3TlHg4 crystal, from Alexandria.

**ΔE to the lowest computed polymorph**: 11.4 kJ/mol of atoms
**Size of the total moment**: 0.000 μB/atom
**D(E_F)**: 6.4 states/eV per cell
**Formation enthalpy at 0 K**: -2.3 eV/f.u.

a = 9.677 Å, b = 9.677 Å, c = 9.677 Å
α = 158.24°, β = 136.37°, γ = 49.26°
Element x y z (fractional)
1 Sm 0.000 0.000 0.000
2 Sm 0.281 0.781 0.500
3 Sm 0.719 0.219 0.500
4 Tl 0.500 0.500 0.000
5 Hg 0.088 0.372 0.716
6 Hg 0.344 0.628 0.716
7 Hg 0.656 0.372 0.284
8 Hg 0.912 0.628 0.284

The following is a PBE calculation of a relaxed SmTl2Hg9 crystal, from Alexandria.

**Size of the total moment**: 0.000 μB/atom
**D(E_F)**: 7.6 states/eV per cell
**Formation enthalpy at 0 K**: -1.4 eV/f.u.

a = 4.713 Å, b = 4.713 Å, c = 14.576 Å
α = 90.00°, β = 90.00°, γ = 90.00°
Element x y z (fractional)
1 Sm 0.000 0.000 0.000
2 Tl 0.000 0.000 0.329
3 Tl 0.000 0.000 0.671
4 Hg 0.000 0.500 0.158
5 Hg 0.000 0.500 0.500
6 Hg 0.000 0.500 0.842
7 Hg 0.500 0.000 0.158
8 Hg 0.500 0.000 0.500
9 Hg 0.500 0.000 0.842
10 Hg 0.500 0.500 0.000
11 Hg 0.500 0.500 0.325
12 Hg 0.500 0.500 0.675

The following is a PBE calculation of a relaxed SmTlHg crystal, from Alexandria.

**Size of the total moment**: 0.000 μB/atom
**D(E_F)**: 1.7 states/eV per cell
**Formation enthalpy at 0 K**: -1.0 eV/f.u.

a = 4.980 Å, b = 4.980 Å, c = 3.792 Å
α = 90.00°, β = 90.00°, γ = 120.00°
Element x y z (fractional)
1 Sm 0.000 0.000 0.000
2 Tl 0.333 0.667 0.582
3 Hg 0.667 0.333 0.393

The following is a PBE calculation of a relaxed Sm4Tl5Hg2 crystal, from Alexandria.

**Size of the total moment**: 0.000 μB/atom
**D(E_F)**: 7.5 states/eV per cell
**Formation enthalpy at 0 K**: -3.6 eV/f.u.

a = 8.445 Å, b = 3.738 Å, c = 9.944 Å
α = 90.00°, β = 90.78°, γ = 90.00°
Element x y z (fractional)
1 Sm 0.217 0.000 0.363
2 Sm 0.239 0.000 0.895
3 Sm 0.761 0.000 0.105
4 Sm 0.783 0.000 0.637
5 Tl 0.132 0.500 0.626
6 Tl 0.451 0.500 0.159
7 Tl 0.500 0.500 0.500
8 Tl 0.549 0.500 0.841
9 Tl 0.868 0.500 0.374
10 Hg 0.085 0.500 0.128
11 Hg 0.915 0.500 0.872

The following is a PBE calculation of a relaxed SmTlHg3 crystal, from Alexandria.

**ΔE to the lowest computed polymorph**: 0.0 kJ/mol of atoms
**Size of the total moment**: 0.000 μB/atom
**D(E_F)**: 4.2 states/eV per cell
**Formation enthalpy at 0 K**: -1.0 eV/f.u.

a = 4.934 Å, b = 6.541 Å, c = 8.891 Å
α = 90.00°, β = 90.00°, γ = 90.00°
Element x y z (fractional)
1 Sm 0.250 0.250 0.092
2 Sm 0.750 0.750 0.908
3 Tl 0.250 0.750 0.463
4 Tl 0.750 0.250 0.537
5 Hg 0.250 0.002 0.761
6 Hg 0.250 0.498 0.761
7 Hg 0.250 0.750 0.119
8 Hg 0.750 0.250 0.881
9 Hg 0.750 0.502 0.239
10 Hg 0.750 0.998 0.239

The following is a PBE calculation of a relaxed Sm12Tl2Hg5 crystal, from Alexandria.

**Size of the total moment**: 0.091 μB/atom
**D(E_F)**: 21.6 states/eV per cell
**Formation enthalpy at 0 K**: -2.5 eV/f.u.

a = 9.086 Å, b = 9.086 Å, c = 9.586 Å
α = 93.57°, β = 93.57°, γ = 50.76°
Element x y z (fractional)
1 Sm 0.017 0.017 0.298
2 Sm 0.080 0.553 0.863
3 Sm 0.094 0.625 0.454
4 Sm 0.375 0.906 0.546
5 Sm 0.426 0.426 0.184
6 Sm 0.447 0.920 0.137
7 Sm 0.553 0.080 0.863
8 Sm 0.574 0.574 0.816
9 Sm 0.625 0.094 0.454
10 Sm 0.906 0.375 0.546
11 Sm 0.920 0.447 0.137
12 Sm 0.983 0.983 0.702
13 Tl 0.206 0.794 0.000
14 Tl 0.794 0.206 0.000
15 Hg 0.159 0.159 0.861
16 Hg 0.236 0.236 0.354
17 Hg 0.500 0.500 0.500
18 Hg 0.764 0.764 0.646
19 Hg 0.841 0.841 0.139

The following is a PBE calculation of a relaxed Sm3Tl3Hg2 crystal, from Alexandria.

**ΔE to the lowest computed polymorph**: 0.0 kJ/mol of atoms
**Size of the total moment**: 0.000 μB/atom
**D(E_F)**: 6.1 states/eV per cell
**Formation enthalpy at 0 K**: -2.8 eV/f.u.

a = 8.362 Å, b = 8.362 Å, c = 3.706 Å
α = 90.00°, β = 90.00°, γ = 120.00°
Element x y z (fractional)
1 Sm 0.000 0.384 0.000
2 Sm 0.384 0.000 0.000
3 Sm 0.616 0.616 0.000
4 Tl 0.000 0.761 0.500
5 Tl 0.239 0.239 0.500
6 Tl 0.761 0.000 0.500
7 Hg 0.333 0.667 0.500
8 Hg 0.667 0.333 0.500

> D(E_F) of number 5 (Sm4Tl5Hg2)?

7.5 states/eV per cell

> Look up the size of the total moment of the fifth one.

0.000 μB/atom